This record from Alexandria describes crystalline SbPd6Pt at its relaxed geometry. The functional is GGA-PBE.

Output
Space group: P-1
Raw total energy (eV/atom): -5.27
M_tot (Bohr magnetons per cell): 0.000
Energy relative to the elements, uncorrected (meV/atom): -102
Excess energy over the best structure of this formula in the dataset (meV per atom): 15

a b c (Å): 6.9988 7.0491 5.1245
angles (deg): 46.76 46.62 64.22
Fractional coordinates of all 8 atoms:
1 Pt 0.5000 0.5000 0.5000
2 Pd 0.7464 0.0484 0.6473
3 Pd 0.2536 0.9516 0.3527
4 Pd 0.0446 0.4421 0.2599
5 Pd 0.9554 0.5579 0.7401
6 Pd 0.5537 0.2540 0.1477
7 Pd 0.4463 0.7460 0.8523
8 Sb 0.0000 0.0000 0.0000

This record from Alexandria describes crystalline Sb2Pd2Pt3 at its relaxed geometry. The functional is GGA-PBE.

Output
Space group: C2/m
Raw total energy (eV/atom): -5.51
M_tot (Bohr magnetons per cell): 0.000
Energy relative to the elements, uncorrected (meV/atom): -260

a b c (Å): 3.7974 5.1739 9.1205
angles (deg): 126.42 90.00 111.53
Fractional coordinates of all 7 atoms:
1 Pt 0.0000 0.0000 0.5000
2 Pt 0.6823 0.3646 0.1259
3 Pt 0.3177 0.6354 0.8741
4 Pd 0.8061 0.6122 0.6413
5 Pd 0.1939 0.3878 0.3587
6 Sb 0.5611 0.1223 0.7674
7 Sb 0.4389 0.8777 0.2326

This record from Alexandria describes crystalline Sb4Pd2Pt at its relaxed geometry. The functional is GGA-PBE.

Output
Space group: I4/mmm
Raw total energy (eV/atom): -4.58
M_tot (Bohr magnetons per cell): 0.000
Energy relative to the elements, uncorrected (meV/atom): 124
Excess energy over the best structure of this formula in the dataset (meV per atom): 514

a b c (Å): 5.2411 5.2411 7.5840
angles (deg): 69.79 69.79 90.00
Fractional coordinates of all 7 atoms:
1 Pd 0.6017 0.6017 0.7966
2 Pd 0.3983 0.3983 0.2034
3 Sb 0.0000 0.5000 0.0000
4 Sb 0.7934 0.7934 0.4132
5 Sb 0.2066 0.2066 0.5868
6 Sb 0.5000 0.0000 0.0000
7 Pt 0.0000 0.0000 0.0000

This record from Alexandria describes crystalline Sb2PdPt at its relaxed geometry. The functional is GGA-PBE.

Output
Space group: R3m
Raw total energy (eV/atom): -5.15
M_tot (Bohr magnetons per cell): 0.000
Energy relative to the elements, uncorrected (meV/atom): -284
Excess energy over the best structure of this formula in the dataset (meV per atom): 0

a b c (Å): 4.0007 4.0007 6.7149
angles (deg): 72.67 72.67 60.00
Fractional coordinates of all 4 atoms:
1 Pt 0.6625 0.6625 0.0125
2 Pd 0.5064 0.5064 0.4807
3 Sb 0.2534 0.2534 0.2397
4 Sb 0.0777 0.0777 0.7670

This record from Alexandria describes crystalline SbPd2Pt4 at its relaxed geometry. The functional is GGA-PBE.

Output
Space group: P1
Raw total energy (eV/atom): -5.69
M_tot (Bohr magnetons per cell): 0.000
Energy relative to the elements, uncorrected (meV/atom): -167
Excess energy over the best structure of this formula in the dataset (meV per atom): 0

a b c (Å): 6.2857 5.7291 7.5768
angles (deg): 101.16 114.59 103.60
Fractional coordinates of all 14 atoms:
1 Pt 0.4473 0.2341 0.8942
2 Pt 0.8656 0.6581 0.1739
3 Pt 0.8837 0.1707 0.1830
4 Pt 0.1625 0.4580 0.0309
5 Pt 0.2965 0.0735 0.4623
6 Pt 0.4528 0.7379 0.8986
7 Pt 0.0171 0.8017 0.6066
8 Pt 0.7340 0.0228 0.7552
9 Pd 0.5975 0.8770 0.3286
10 Pd 0.0217 0.3053 0.6077
11 Pd 0.5786 0.3680 0.3177
12 Pd 0.7255 0.5114 0.7420
13 Sb 0.3104 0.5882 0.4697
14 Sb 0.1568 0.9433 0.0292

This record from Alexandria describes crystalline SbPd4Pt2 at its relaxed geometry. The functional is GGA-PBE.

Output
Space group: P2_1/m
Raw total energy (eV/atom): -5.44
M_tot (Bohr magnetons per cell): 0.000
Energy relative to the elements, uncorrected (meV/atom): -158
Excess energy over the best structure of this formula in the dataset (meV per atom): 0

a b c (Å): 6.7365 5.5182 7.2363
angles (deg): 90.00 119.56 90.00
Fractional coordinates of all 14 atoms:
1 Pt 0.8138 0.7500 0.0541
2 Pt 0.3130 0.2500 0.3678
3 Pt 0.6870 0.7500 0.6322
4 Pt 0.1862 0.2500 0.9459
5 Pd 0.4173 0.0028 0.7706
6 Pd 0.1558 0.7500 0.9260
7 Pd 0.5827 0.5028 0.2294
8 Pd 0.4173 0.4972 0.7706
9 Pd 0.5827 0.9972 0.2294
10 Pd 0.8442 0.2500 0.0740
11 Pd 0.0011 0.7500 0.4964
12 Pd 0.9989 0.2500 0.5036
13 Sb 0.7423 0.2500 0.6775
14 Sb 0.2577 0.7500 0.3225

This record from Alexandria describes crystalline Sb2Pd3Pt6 at its relaxed geometry. The functional is GGA-PBE.

Output
Space group: I4/mmm
Raw total energy (eV/atom): -5.44
M_tot (Bohr magnetons per cell): 0.000
Energy relative to the elements, uncorrected (meV/atom): 17

a b c (Å): 8.1993 8.1993 8.1993
angles (deg): 98.08 115.45 115.45
Fractional coordinates of all 22 atoms:
1 Pt 0.6506 0.0050 0.3544
2 Pt 0.3494 0.9950 0.6456
3 Pt 0.0000 0.6818 0.3182
4 Pt 0.3494 0.3544 0.7037
5 Pt 0.6365 0.3182 0.3182
6 Pt 0.3494 0.6456 0.9950
7 Pt 0.3494 0.7037 0.3544
8 Pt 0.6506 0.3544 0.0050
9 Pt 0.0000 0.3182 0.6818
10 Pt 0.6506 0.2963 0.6456
11 Pt 0.6506 0.6456 0.2963
12 Pt 0.3635 0.6818 0.6818
13 Sb 0.5000 0.5000 0.5000
14 Sb 0.5000 0.0000 0.0000
15 Sb 0.0000 0.5000 0.0000
16 Sb 0.0000 0.0000 0.5000
17 Pd 0.2509 0.2509 0.0000
18 Pd 0.7491 0.7491 0.0000
19 Pd 0.0000 0.6814 0.6814
20 Pd 0.0000 0.3186 0.3186
21 Pd 0.7492 0.0000 0.7492
22 Pd 0.2508 0.0000 0.2508

This record from Alexandria describes crystalline Sb2PdPt2 at its relaxed geometry. The functional is GGA-PBE.

Output
Space group: P4/mbm
Raw total energy (eV/atom): -5.33
M_tot (Bohr magnetons per cell): 0.000
Energy relative to the elements, uncorrected (meV/atom): -224
Excess energy over the best structure of this formula in the dataset (meV per atom): 193

a b c (Å): 7.3498 7.3498 3.6067
angles (deg): 90.00 90.00 90.00
Fractional coordinates of all 10 atoms:
1 Sb 0.1700 0.6700 0.5000
2 Sb 0.6700 0.8300 0.5000
3 Sb 0.8300 0.3300 0.5000
4 Sb 0.3300 0.1700 0.5000
5 Pt 0.1355 0.3645 0.0000
6 Pt 0.8645 0.6355 0.0000
7 Pt 0.3645 0.8645 0.0000
8 Pt 0.6355 0.1355 0.0000
9 Pd 0.5000 0.5000 0.0000
10 Pd 0.0000 0.0000 0.0000

This record from Alexandria describes crystalline SbPd4Pt at its relaxed geometry. The functional is GGA-PBE.

Output
Space group: Cmcm
Raw total energy (eV/atom): -5.22
M_tot (Bohr magnetons per cell): 0.000
Energy relative to the elements, uncorrected (meV/atom): -65
Excess energy over the best structure of this formula in the dataset (meV per atom): 168

a b c (Å): 4.2082 5.5421 9.5666
angles (deg): 90.00 102.71 90.00
Fractional coordinates of all 12 atoms:
1 Pt 0.5712 0.8640 0.1424
2 Pt 0.4288 0.3640 0.8576
3 Pd 0.5718 0.3641 0.1437
4 Pd 0.4282 0.8641 0.8563
5 Pd 0.7018 0.6249 0.4037
6 Pd 0.0000 0.6141 0.0000
7 Pd 0.2982 0.1249 0.5963
8 Pd 0.2982 0.6026 0.5963
9 Pd 0.7018 0.1026 0.4037
10 Pd 0.0000 0.1141 0.0000
11 Sb 0.8388 0.8637 0.6775
12 Sb 0.1612 0.3637 0.3225

This record from Alexandria describes crystalline SbPd8Pt2 at its relaxed geometry. The functional is GGA-PBE.

Output
Space group: C2/m
Raw total energy (eV/atom): -5.08
M_tot (Bohr magnetons per cell): 0.000
Energy relative to the elements, uncorrected (meV/atom): 172
Excess energy over the best structure of this formula in the dataset (meV per atom): 261

a b c (Å): 4.8025 6.6899 6.6899
angles (deg): 83.26 77.15 77.15
Fractional coordinates of all 11 atoms:
1 Pd 0.7036 0.5737 0.5737
2 Pd 0.7963 0.1586 0.6727
3 Pd 0.1100 0.7215 0.7215
4 Pd 0.2037 0.3273 0.8414
5 Pd 0.2037 0.8414 0.3273
6 Pd 0.8900 0.2785 0.2785
7 Pd 0.2964 0.4263 0.4263
8 Pd 0.7963 0.6727 0.1586
9 Pt 0.4665 0.1500 0.1500
10 Pt 0.5335 0.8500 0.8500
11 Sb 0.0000 0.0000 0.0000

This record from Alexandria describes crystalline SbPd4Pt5 at its relaxed geometry. The functional is GGA-PBE.

Output
Space group: C2/m
Raw total energy (eV/atom): -5.49
M_tot (Bohr magnetons per cell): 0.000
Energy relative to the elements, uncorrected (meV/atom): 16

a b c (Å): 4.0872 6.9201 7.1633
angles (deg): 117.61 106.58 90.00
Fractional coordinates of all 10 atoms:
1 Pd 0.3228 0.5865 0.6457
2 Pd 0.6772 0.4135 0.3543
3 Pd 0.0193 0.2476 0.0386
4 Pd 0.9807 0.7524 0.9614
5 Pt 0.8401 0.3006 0.6801
6 Pt 0.1599 0.6994 0.3199
7 Pt 0.5000 0.5000 0.0000
8 Pt 0.8052 0.8818 0.6104
9 Pt 0.1948 0.1182 0.3896
10 Sb 0.5000 0.0000 0.0000

This record from Alexandria describes crystalline SbPd4Pt4 at its relaxed geometry. The functional is GGA-PBE.

Output
Space group: I4/mmm
Raw total energy (eV/atom): -5.65
M_tot (Bohr magnetons per cell): 0.000
Energy relative to the elements, uncorrected (meV/atom): -197

a b c (Å): 4.0160 6.3065 6.3065
angles (deg): 84.18 71.43 71.43
Fractional coordinates of all 9 atoms:
1 Sb 0.0000 0.0000 0.0000
2 Pd 0.6661 0.0000 0.6678
3 Pd 0.3339 0.0000 0.3322
4 Pd 0.3339 0.3322 0.0000
5 Pd 0.6661 0.6678 0.0000
6 Pt 0.3348 0.6653 0.6652
7 Pt 0.0000 0.6652 0.3347
8 Pt 0.0000 0.3348 0.6653
9 Pt 0.6652 0.3347 0.3348

This record from Alexandria describes crystalline SbPdPt at its relaxed geometry. The functional is GGA-PBE.

Output
Space group: C2/m
Raw total energy (eV/atom): -5.40
M_tot (Bohr magnetons per cell): 0.000
Energy relative to the elements, uncorrected (meV/atom): -286

a b c (Å): 4.4809 4.3720 9.2311
angles (deg): 119.09 90.00 120.83
Fractional coordinates of all 6 atoms:
1 Pt 0.8733 0.7466 0.8026
2 Pt 0.1267 0.2534 0.1974
3 Sb 0.8582 0.7165 0.2970
4 Sb 0.1418 0.2835 0.7030
5 Pd 0.6247 0.2493 0.9327
6 Pd 0.3753 0.7507 0.0673

This record from Alexandria describes crystalline SbPd3Pt at its relaxed geometry. The functional is GGA-PBE.

Output
Space group: C2/m
Raw total energy (eV/atom): -5.43
M_tot (Bohr magnetons per cell): 0.000
Energy relative to the elements, uncorrected (meV/atom): -284
Excess energy over the best structure of this formula in the dataset (meV per atom): 0

a b c (Å): 5.1540 5.1540 8.6051
angles (deg): 79.01 79.01 48.68
Fractional coordinates of all 10 atoms:
1 Pd 0.7821 0.7821 0.2473
2 Pd 0.2179 0.2179 0.7527
3 Pd 0.8437 0.8437 0.5493
4 Pd 0.1563 0.1563 0.4507
5 Pd 0.3532 0.3532 0.0265
6 Pd 0.6468 0.6468 0.9735
7 Sb 0.9269 0.9269 0.8243
8 Sb 0.0731 0.0731 0.1757
9 Pt 0.5353 0.5353 0.6509
10 Pt 0.4647 0.4647 0.3491

This record from Alexandria describes crystalline Sb4Pd2Pt at its relaxed geometry. The functional is GGA-PBE.

Output
Space group: P-1
Raw total energy (eV/atom): -5.09
M_tot (Bohr magnetons per cell): 0.000
Energy relative to the elements, uncorrected (meV/atom): -389
Excess energy over the best structure of this formula in the dataset (meV per atom): 0

a b c (Å): 4.1650 6.6764 6.8974
angles (deg): 61.79 89.93 71.73
Fractional coordinates of all 7 atoms:
1 Pd 0.7308 0.5370 0.7066
2 Pd 0.2692 0.4630 0.2934
3 Sb 0.8937 0.2143 0.5429
4 Sb 0.6367 0.7290 0.9827
5 Sb 0.1063 0.7857 0.4571
6 Sb 0.3633 0.2710 0.0173
7 Pt 0.0000 0.0000 0.0000

This record from Alexandria describes crystalline SbPd5Pt6 at its relaxed geometry. The functional is GGA-PBE.

Output
Space group: C2/m
Raw total energy (eV/atom): -5.65
M_tot (Bohr magnetons per cell): 0.000
Energy relative to the elements, uncorrected (meV/atom): -123

a b c (Å): 4.0091 7.4212 7.4212
angles (deg): 105.27 105.76 105.76
Fractional coordinates of all 12 atoms:
1 Pt 0.2448 0.7447 0.7447
2 Pt 0.7494 0.9170 0.5818
3 Pt 0.2506 0.0830 0.4182
4 Pt 0.7552 0.2553 0.2553
5 Pt 0.2506 0.4182 0.0830
6 Pt 0.7494 0.5818 0.9170
7 Pd 0.5000 0.1653 0.8347
8 Pd 0.0000 0.6671 0.3329
9 Pd 0.0000 0.3329 0.6671
10 Pd 0.5000 0.5000 0.5000
11 Pd 0.5000 0.8347 0.1653
12 Sb 0.0000 0.0000 0.0000

This record from Alexandria describes crystalline SbPd23Pt6 at its relaxed geometry. The functional is GGA-PBE.

Output
Space group: I4/mmm
Raw total energy (eV/atom): -5.33
M_tot (Bohr magnetons per cell): 0.000
Energy relative to the elements, uncorrected (meV/atom): -2

a b c (Å): 9.6373 9.6372 7.8593
angles (deg): 65.94 65.94 48.13
Fractional coordinates of all 30 atoms:
1 Pd 0.5000 0.5000 0.0000
2 Pd 0.1273 0.1273 0.1243
3 Pd 0.6285 0.6285 0.1186
4 Pd 0.3755 0.8814 0.3715
5 Pd 0.5000 0.0000 0.0000
6 Pd 0.8757 0.3789 0.8727
7 Pd 0.8814 0.3755 0.3715
8 Pd 0.6245 0.1186 0.6285
9 Pd 0.6285 0.6285 0.6245
10 Pd 0.6211 0.1243 0.1273
11 Pd 0.3789 0.8757 0.8727
12 Pd 0.1273 0.1273 0.6211
13 Pd 0.5000 0.0000 0.5000
14 Pd 0.1243 0.6211 0.1273
15 Pd 0.8727 0.8727 0.3789
16 Pd 0.0000 0.5000 0.0000
17 Pd 0.0000 0.0000 0.5000
18 Pd 0.0000 0.0000 0.0000
19 Pd 0.3715 0.3715 0.8814
20 Pd 0.0000 0.5000 0.5000
21 Pd 0.1186 0.6245 0.6285
22 Pd 0.3715 0.3715 0.3755
23 Pd 0.8727 0.8727 0.8757
24 Pt 0.2499 0.7501 0.2499
25 Pt 0.7501 0.2499 0.2499
26 Pt 0.2489 0.2489 0.7511
27 Pt 0.2499 0.7501 0.7501
28 Pt 0.7501 0.2499 0.7501
29 Pt 0.7511 0.7511 0.2489
30 Sb 0.5000 0.5000 0.5000

This record from Alexandria describes crystalline Sb6Pd2Pt at its relaxed geometry. The functional is GGA-PBE.

Output
Space group: P-31m
Raw total energy (eV/atom): -4.81
M_tot (Bohr magnetons per cell): 0.000
Energy relative to the elements, uncorrected (meV/atom): -240

a b c (Å): 5.5954 7.0603 7.0604
angles (deg): 119.99 90.01 90.00
Fractional coordinates of all 9 atoms:
1 Pt 0.0000 0.0000 0.0000
2 Pd 0.5000 0.3333 0.6667
3 Pd 0.5000 0.6667 0.3333
4 Sb 0.7001 0.0000 0.3002
5 Sb 0.6999 0.6999 0.6999
6 Sb 0.7001 0.3002 0.0000
7 Sb 0.3001 0.3001 0.3001
8 Sb 0.2999 0.6998 0.0000
9 Sb 0.2999 0.0000 0.6998

This record from Alexandria describes crystalline SbPd2Pt6 at its relaxed geometry. The functional is GGA-PBE.

Output
Space group: C2/c
Raw total energy (eV/atom): -5.63
M_tot (Bohr magnetons per cell): 0.000
Energy relative to the elements, uncorrected (meV/atom): 9

a b c (Å): 5.5678 8.8778 8.8778
angles (deg): 47.44 81.24 81.24
Fractional coordinates of all 18 atoms:
1 Pt 0.9365 0.9485 0.3295
2 Pt 0.2947 0.4152 0.4141
3 Pt 0.5635 0.6705 0.0515
4 Pt 0.7947 0.4141 0.4152
5 Pt 0.4227 0.9493 0.3261
6 Pt 0.4365 0.3295 0.9485
7 Pt 0.2053 0.5859 0.5848
8 Pt 0.0773 0.6739 0.0507
9 Pt 0.5773 0.0507 0.6739
10 Pt 0.0635 0.0515 0.6705
11 Pt 0.9227 0.3261 0.9493
12 Pt 0.7053 0.5848 0.5859
13 Pd 0.1199 0.2630 0.2593
14 Pd 0.6199 0.2593 0.2630
15 Pd 0.8801 0.7370 0.7407
16 Pd 0.3801 0.7407 0.7370
17 Sb 0.7500 0.8452 0.1548
18 Sb 0.2500 0.1548 0.8452

This record from Alexandria describes crystalline Sb6Pd12Pt at its relaxed geometry. The functional is GGA-PBE.

Output
Space group: R-3
Raw total energy (eV/atom): -5.26
M_tot (Bohr magnetons per cell): 0.000
Energy relative to the elements, uncorrected (meV/atom): -362

a b c (Å): 7.5897 7.5897 7.5897
angles (deg): 108.62 108.62 108.62
Fractional coordinates of all 19 atoms:
1 Pd 0.8265 0.0539 0.2969
2 Pd 0.1735 0.9461 0.7031
3 Pd 0.7031 0.1735 0.9461
4 Pd 0.9461 0.7031 0.1735
5 Pd 0.4744 0.5987 0.1771
6 Pd 0.5256 0.4013 0.8229
7 Pd 0.8229 0.5256 0.4013
8 Pd 0.1771 0.4744 0.5987
9 Pd 0.2969 0.8265 0.0539
10 Pd 0.5987 0.1771 0.4744
11 Pd 0.0539 0.2969 0.8265
12 Pd 0.4013 0.8229 0.5256
13 Sb 0.1069 0.4410 0.2236
14 Sb 0.8931 0.5590 0.7764
15 Sb 0.2236 0.1069 0.4410
16 Sb 0.7764 0.8931 0.5590
17 Sb 0.4410 0.2236 0.1069
18 Sb 0.5590 0.7764 0.8931
19 Pt 0.0000 0.0000 0.0000